Record 1
{
  "formula": "VMoBr3",
  "functional": "PBE-GGA",
  "state": "optimized geometry",
  "total_energy_ev_per_atom": -4.412,
  "total_magnetization_mub_per_atom": 1.592,
  "raw_formation_energy_ev_per_fu": 2.91,
  "lattice": [[5.3299, 0.0000, 0.0000], [0.0000, 5.3299, 0.0000], [0.0000, 0.0000, 5.3299]],
  "species": ["V", "Mo", "Br", "Br", "Br"],
  "fractional_positions": [[0.0000, 0.0000, 0.0000], [0.5000, 0.5000, 0.5000], [0.0000, 0.5000, 0.5000], [0.5000, 0.0000, 0.5000], [0.5000, 0.5000, 0.0000]]
}


Record 2
{
  "formula": "Ca2Sm3ErTe6",
  "functional": "PBE-GGA",
  "state": "optimized geometry",
  "total_energy_ev_per_atom": -4.894,
  "total_magnetization_mub_per_atom": 0.000,
  "raw_formation_energy_ev_per_fu": -17.16,
  "lattice": [[3.8058, -6.5977, 0.0000], [3.8058, 6.5977, 0.0000], [-2.5452, 0.0000, 7.3771]],
  "species": ["Ca", "Ca", "Sm", "Sm", "Sm", "Er", "Te", "Te", "Te", "Te", "Te", "Te"],
  "fractional_positions": [[0.1657, 0.8343, 0.0000], [0.8343, 0.1657, 0.0000], [0.0000, 0.0000, 0.5000], [0.3266, 0.6734, 0.5000], [0.6734, 0.3266, 0.5000], [0.5000, 0.5000, 0.0000], [0.0916, 0.4198, 0.7586], [0.2558, 0.2558, 0.2498], [0.4198, 0.0916, 0.7586], [0.5802, 0.9084, 0.2414], [0.7442, 0.7442, 0.7502], [0.9084, 0.5802, 0.2414]]
}